1.
# BaMo2Ir PBEsol relaxed
# Relative energy among the computed polymorphs, meV/atom: 0
data_BaMo2Ir
_symmetry_space_group_name_H-M 'P 1'
_symmetry_Int_Tables_number 1
_cell_length_a 3.0692
_cell_length_b 3.3494
_cell_length_c 7.9205
_cell_angle_alpha 90.00
_cell_angle_beta 90.00
_cell_angle_gamma 90.00
loop_
_symmetry_equiv_pos_as_xyz
'x,y,z'
loop_
_atom_site_label
_atom_site_type_symbol
_atom_site_fract_x
_atom_site_fract_y
_atom_site_fract_z
_atom_site_occupancy
Mo1 Mo 0.5000 0.5000 0.1674 1
Mo2 Mo 0.0000 0.0000 0.0013 1
Ir1 Ir 0.5000 0.5000 0.8201 1
Ba1 Ba 0.0000 0.0000 0.5112 1

2.
# BaIrN2 PBEsol relaxed
# E_form (uncorrected), eV/atom: 1.22
data_BaIrN2
_symmetry_space_group_name_H-M 'P 1'
_symmetry_Int_Tables_number 1
_cell_length_a 4.2896
_cell_length_b 4.2896
_cell_length_c 4.2896
_cell_angle_alpha 60.00
_cell_angle_beta 60.00
_cell_angle_gamma 60.00
loop_
_symmetry_equiv_pos_as_xyz
'x,y,z'
loop_
_atom_site_label
_atom_site_type_symbol
_atom_site_fract_x
_atom_site_fract_y
_atom_site_fract_z
_atom_site_occupancy
Ba1 Ba 0.0000 0.0000 0.0000 1
Ir1 Ir 0.5000 0.5000 0.5000 1
N1 N 0.2500 0.2500 0.2500 1
N2 N 0.7500 0.7500 0.7500 1

3.
# BaIrSe2N PBEsol relaxed
# E_form (uncorrected), eV/atom: -0.51
data_BaIrSe2N
_symmetry_space_group_name_H-M 'P 1'
_symmetry_Int_Tables_number 1
_cell_length_a 3.7266
_cell_length_b 5.3400
_cell_length_c 5.3400
_cell_angle_alpha 90.00
_cell_angle_beta 90.00
_cell_angle_gamma 90.00
loop_
_symmetry_equiv_pos_as_xyz
'x,y,z'
loop_
_atom_site_label
_atom_site_type_symbol
_atom_site_fract_x
_atom_site_fract_y
_atom_site_fract_z
_atom_site_occupancy
Ba1 Ba 0.5000 0.5000 0.5000 1
N1 N 0.5000 0.0000 0.0000 1
Se1 Se 0.0000 0.0000 0.5000 1
Se2 Se 0.0000 0.5000 0.0000 1
Ir1 Ir 0.0000 0.0000 0.0000 1

4.
# BaY2IrN PBEsol relaxed
# E_form (uncorrected), eV/atom: 2.39
data_BaY2IrN
_symmetry_space_group_name_H-M 'P 1'
_symmetry_Int_Tables_number 1
_cell_length_a 4.8672
_cell_length_b 5.5664
_cell_length_c 5.5664
_cell_angle_alpha 90.00
_cell_angle_beta 90.00
_cell_angle_gamma 90.00
loop_
_symmetry_equiv_pos_as_xyz
'x,y,z'
loop_
_atom_site_label
_atom_site_type_symbol
_atom_site_fract_x
_atom_site_fract_y
_atom_site_fract_z
_atom_site_occupancy
Ba1 Ba 0.0000 0.0000 0.0000 1
Y1 Y 0.0000 0.0000 0.5000 1
Y2 Y 0.0000 0.5000 0.0000 1
N1 N 0.5000 0.5000 0.5000 1
Ir1 Ir 0.5000 0.0000 0.0000 1

5.
Compound: BaNa2Ir
Source: the Alexandria database
Functional: PBEsol
Structure: relaxed

CIF file:
```
data_BaNa2Ir
_symmetry_space_group_name_H-M 'P 1'
_symmetry_Int_Tables_number 1
_cell_length_a 4.4101
_cell_length_b 4.4101
_cell_length_c 11.7614
_cell_angle_alpha 100.81
_cell_angle_beta 100.81
_cell_angle_gamma 90.00
loop_
_symmetry_equiv_pos_as_xyz
'x,y,z'
loop_
_atom_site_label
_atom_site_type_symbol
_atom_site_fract_x
_atom_site_fract_y
_atom_site_fract_z
_atom_site_occupancy
Ir1 Ir 0.0000 0.0000 0.0000 1
Ir2 Ir 0.2500 0.7500 0.5000 1
Na1 Na 0.3210 0.8750 0.2500 1
Na2 Na 0.9290 0.3750 0.2500 1
Na3 Na 0.1250 0.0710 0.7500 1
Na4 Na 0.6250 0.6790 0.7500 1
Ba1 Ba 0.7500 0.2500 0.5000 1
Ba2 Ba 0.5000 0.5000 0.0000 1
```

6.
# Ba3NaIr2O9 PBEsol relaxed
# E_form (uncorrected), eV/atom: -1.75
data_Ba3NaIr2O9
_symmetry_space_group_name_H-M 'P 1'
_symmetry_Int_Tables_number 1
_cell_length_a 5.8430
_cell_length_b 5.8430
_cell_length_c 14.4876
_cell_angle_alpha 90.00
_cell_angle_beta 90.00
_cell_angle_gamma 120.00
loop_
_symmetry_equiv_pos_as_xyz
'x,y,z'
loop_
_atom_site_label
_atom_site_type_symbol
_atom_site_fract_x
_atom_site_fract_y
_atom_site_fract_z
_atom_site_occupancy
O1 O 0.6431 0.8215 0.4120 1
O2 O 0.1785 0.8215 0.4120 1
O3 O 0.3569 0.1785 0.9120 1
O4 O 0.9771 0.4885 0.7500 1
O5 O 0.5115 0.0229 0.7500 1
O6 O 0.3569 0.1785 0.5880 1
O7 O 0.5115 0.4885 0.7500 1
O8 O 0.8215 0.1785 0.5880 1
O9 O 0.4885 0.9771 0.2500 1
O10 O 0.0229 0.5115 0.2500 1
O11 O 0.8215 0.1785 0.9120 1
O12 O 0.8215 0.6431 0.9120 1
O13 O 0.8215 0.6431 0.5880 1
O14 O 0.4885 0.5115 0.2500 1
O15 O 0.6431 0.8215 0.0880 1
O16 O 0.1785 0.3569 0.0880 1
O17 O 0.1785 0.8215 0.0880 1
O18 O 0.1785 0.3569 0.4120 1
Na1 Na 0.0000 0.0000 0.0000 1
Na2 Na 0.0000 0.0000 0.5000 1
Ba1 Ba 0.0000 0.0000 0.2500 1
Ba2 Ba 0.3333 0.6667 0.9182 1
Ba3 Ba 0.6667 0.3333 0.4182 1
Ba4 Ba 0.0000 0.0000 0.7500 1
Ba5 Ba 0.3333 0.6667 0.5818 1
Ba6 Ba 0.6667 0.3333 0.0818 1
Ir1 Ir 0.6667 0.3333 0.8385 1
Ir2 Ir 0.3333 0.6667 0.3385 1
Ir3 Ir 0.3333 0.6667 0.1615 1
Ir4 Ir 0.6667 0.3333 0.6615 1

7.
# Ba3NaIrRuO9 PBEsol relaxed
# E_form (uncorrected), eV/atom: -1.83
data_Ba3NaIrRuO9
_symmetry_space_group_name_H-M 'P 1'
_symmetry_Int_Tables_number 1
_cell_length_a 5.8578
_cell_length_b 5.8578
_cell_length_c 14.2694
_cell_angle_alpha 90.00
_cell_angle_beta 90.00
_cell_angle_gamma 120.00
loop_
_symmetry_equiv_pos_as_xyz
'x,y,z'
loop_
_atom_site_label
_atom_site_type_symbol
_atom_site_fract_x
_atom_site_fract_y
_atom_site_fract_z
_atom_site_occupancy
O1 O 0.6408 0.8204 0.0910 1
O2 O 0.5077 0.4923 0.7502 1
O3 O 0.8214 0.1786 0.9102 1
O4 O 0.8214 0.6428 0.9102 1
O5 O 0.1786 0.3572 0.4102 1
O6 O 0.1786 0.8214 0.4102 1
O7 O 0.4923 0.9846 0.2502 1
O8 O 0.1796 0.8204 0.0910 1
O9 O 0.3592 0.1796 0.5910 1
O10 O 0.0154 0.5077 0.2502 1
O11 O 0.8204 0.6408 0.5910 1
O12 O 0.3572 0.1786 0.9102 1
O13 O 0.8204 0.1796 0.5910 1
O14 O 0.6428 0.8214 0.4102 1
O15 O 0.5077 0.0154 0.7502 1
O16 O 0.9846 0.4923 0.7502 1
O17 O 0.1796 0.3592 0.0910 1
O18 O 0.4923 0.5077 0.2502 1
Ba1 Ba 0.0000 0.0000 0.2508 1
Ba2 Ba 0.6667 0.3333 0.4115 1
Ba3 Ba 0.3333 0.6667 0.5865 1
Ba4 Ba 0.0000 0.0000 0.7508 1
Ba5 Ba 0.3333 0.6667 0.9115 1
Ba6 Ba 0.6667 0.3333 0.0865 1
Ir1 Ir 0.3333 0.6667 0.3358 1
Ir2 Ir 0.6667 0.3333 0.8358 1
Na1 Na 0.0000 0.0000 0.5003 1
Na2 Na 0.0000 0.0000 0.0003 1
Ru1 Ru 0.3333 0.6667 0.1609 1
Ru2 Ru 0.6667 0.3333 0.6609 1

8.
Compound: BaNbReIr2
Source: the Alexandria database
Functional: PBEsol
Structure: relaxed

CIF file:
```
data_BaNbReIr2
_symmetry_space_group_name_H-M 'P 1'
_symmetry_Int_Tables_number 1
_cell_length_a 4.7539
_cell_length_b 4.7539
_cell_length_c 5.3107
_cell_angle_alpha 90.00
_cell_angle_beta 90.00
_cell_angle_gamma 90.00
loop_
_symmetry_equiv_pos_as_xyz
'x,y,z'
loop_
_atom_site_label
_atom_site_type_symbol
_atom_site_fract_x
_atom_site_fract_y
_atom_site_fract_z
_atom_site_occupancy
Ba1 Ba 0.0000 0.0000 0.5000 1
Ir1 Ir 0.5000 0.0000 0.0000 1
Ir2 Ir 0.0000 0.5000 0.0000 1
Nb1 Nb 0.5000 0.5000 0.5000 1
Re1 Re 0.0000 0.0000 0.0000 1
```

9.
# Ba3SrNd2Ir2O12 PBEsol relaxed
# E_form (uncorrected), eV/atom: -2.30
data_Ba3SrNd2Ir2O12
_symmetry_space_group_name_H-M 'P 1'
_symmetry_Int_Tables_number 1
_cell_length_a 5.9549
_cell_length_b 5.9792
_cell_length_c 8.4467
_cell_angle_alpha 90.94
_cell_angle_beta 89.97
_cell_angle_gamma 90.30
loop_
_symmetry_equiv_pos_as_xyz
'x,y,z'
loop_
_atom_site_label
_atom_site_type_symbol
_atom_site_fract_x
_atom_site_fract_y
_atom_site_fract_z
_atom_site_occupancy
O1 O 0.4597 0.0048 0.7257 1
O2 O 0.5116 0.5474 0.7491 1
O3 O 0.7778 0.2768 0.4797 1
O4 O 0.4882 0.4503 0.2536 1
O5 O 0.9945 0.9546 0.7627 1
O6 O 0.7189 0.2095 0.0179 1
O7 O 0.9435 0.5103 0.2152 1
O8 O 0.0449 0.4997 0.7777 1
O9 O 0.5452 0.9903 0.2731 1
O10 O 0.2942 0.7753 0.9824 1
O11 O 0.0056 0.0446 0.2440 1
O12 O 0.2217 0.7264 0.5202 1
Sr1 Sr 0.7420 0.7678 0.9971 1
Ir1 Ir 0.7474 0.2482 0.2478 1
Ir2 Ir 0.2534 0.7512 0.7525 1
Nd1 Nd 0.7532 0.2526 0.7510 1
Nd2 Nd 0.2464 0.7471 0.2489 1
Ba1 Ba 0.7491 0.7468 0.5016 1
Ba2 Ba 0.2528 0.2510 0.4992 1
Ba3 Ba 0.2499 0.2452 0.0007 1

10.
Compound: Ba2NiIr
Source: the Alexandria database
Functional: PBEsol
Structure: relaxed

CIF file:
```
data_Ba2NiIr
_symmetry_space_group_name_H-M 'P 1'
_symmetry_Int_Tables_number 1
_cell_length_a 4.4382
_cell_length_b 4.7607
_cell_length_c 5.8802
_cell_angle_alpha 113.88
_cell_angle_beta 90.00
_cell_angle_gamma 90.00
loop_
_symmetry_equiv_pos_as_xyz
'x,y,z'
loop_
_atom_site_label
_atom_site_type_symbol
_atom_site_fract_x
_atom_site_fract_y
_atom_site_fract_z
_atom_site_occupancy
Ni1 Ni 0.5000 0.7154 0.4308 1
Ba1 Ba 0.0000 0.1050 0.2100 1
Ba2 Ba 0.5000 0.3979 0.7958 1
Ir1 Ir 0.0000 0.7863 0.5726 1
```

Total energy (eV per atom)
-8.3176 -6.0333 -6.1541 -4.4411 -3.2357 -6.7345 -6.8313 -7.3736 -7.3605 -5.0819
N(E_F) (states/eV/f.u.)
4.76 2.26 3.43 4.46 4.40 10.84 6.76 6.67 6.11 3.49